This record from Alexandria via LeMat-Bulk describes a relaxed La2SeSN crystal. The functional is PBE.

abc: 5.1122 4.1094 5.1122
angles: 90.00 90.00 90.00
Positions (direct):
N: 0.0000 0.0000 0.0000
La: 0.5000 0.0000 0.0000
La: 0.0000 0.0000 0.5000
S: 0.5000 0.5000 0.5000
Se: 0.0000 0.5000 0.0000

Values from the calculation:
For the uncorrected formation energy, the calculation gives -1.187 eV/atom. As for the theoretical density: 6.228 g/cm³. The calculated volume comes out at 107.4 Å³ per cell. The calculation puts the final energy at -6.346 eV per atom.